# 1
# CsY2MgAu

A relaxed CsY2MgAu crystal (PBE, Alexandria via LeMat-Bulk).

The space group is P4/mmm (No. 123) and the conventional cell measures 5.834, 5.834 and 5.154 Å, with angles of 90.00, 90.00 and 90.00 degrees. The asymmetric unit holds Cs at (0.000, 0.000, 0.000), Y at (0.000, 0.500, 0.500), Mg at (0.500, 0.500, 0.500) and Au at (0.500, 0.500, 0.000).

For the formation energy, the calculation gives 0.52 eV/atom. The total moment is 0.00 μB per cell. Its crystal system is tetragonal.

# 2
# CsMn3Au

A relaxed CsMn3Au crystal (PBE, Alexandria via LeMat-Bulk).

The space group is Pm-3m (No. 221) and the conventional cell measures 5.000, 5.000 and 5.000 Å, with angles of 90.00, 90.00 and 90.00 degrees. The asymmetric unit holds Cs at (0.000, 0.000, 0.000), Mn at (0.000, 0.000, 0.500) and Au at (0.500, 0.500, 0.500).

For the formation energy, the calculation gives 2.28 eV/atom. The total moment is 11.05 μB per cell. Its crystal system is cubic.

Question: Among the records above, which one has the lowest total moment?
Answer: CsY2MgAu

Question: Look up the total moment of the second one.
Answer: 11.05 μB per cell

Question: What is the total moment in the second record?
Answer: 11.05 μB per cell

Question: The lowest total moment belongs to which entry?
Answer: CsY2MgAu